TaIn2Te: relaxed, PBE.

offset from the most stable computed form = 0 meV/atom
D(E_F) = 0.39 states/eV/atom
E_form (uncorrected) = 0.08 eV/atom
crystal system = tetragonal

The structure in CIF format:
```
data_TaIn2Te
_chemical_formula_sum 'Ta1 In2 Te1'
_symmetry_space_group_name_H-M 'P 4 m m'
_symmetry_Int_Tables_number 99
_symmetry_space_group_name_Hall 'P 4 -2'
_cell_length_a 3.327
_cell_length_b 3.327
_cell_length_c 9.071
_cell_angle_alpha 90.00
_cell_angle_beta 90.00
_cell_angle_gamma 90.00
loop_
_atom_site_label
_atom_site_fract_x
_atom_site_fract_y
_atom_site_fract_z
Ta1 0.000 0.000 0.000
In1 0.000 0.000 0.509
In2 0.500 0.500 0.781
Te1 0.500 0.500 0.177
```